Entry 1:
This record from Alexandria describes crystalline AcCoAsO6 at its relaxed geometry. The functional is GGA+U.

Unit cell a=4.9938 b=4.9937 c=5.3991 alpha=90.29 beta=89.70 gamma=59.68
Last column: magnetic moment on the atom in μB.
Fractional coordinates of all 9 atoms:
O1 0.3883 0.0037 0.6975  0.01
O2 0.0036 0.3883 0.3024  0.01
O3 0.6126 0.3833 0.6964  0.01
O4 0.6112 0.0055 0.3017  -0.03
O5 0.3833 0.6126 0.3036  0.01
O6 0.0055 0.6112 0.6983  -0.03
Ac1 0.9991 0.9991 0.0000  0.00
As1 0.3331 0.3331 0.5000  0.00
Co1 0.6632 0.6632 0.5000  1.02

space group: C2, No. 5

=====

Entry 2:
This record from Alexandria describes crystalline AcCoAsO5 at its relaxed geometry. The functional is GGA+U.

Unit cell a=6.2653 b=6.2653 c=8.6264 alpha=98.77 beta=98.77 gamma=121.16
Last column: magnetic moment on the atom in μB.
Fractional coordinates of all 16 atoms:
As1 0.7069 0.2931 0.2500  0.00
As2 0.2931 0.7069 0.7500  0.00
Ac1 0.0000 0.0000 0.5000  0.02
Ac2 0.0000 0.0000 0.0000  0.02
O1 0.7528 0.5083 0.4181  0.01
O2 0.0987 0.9013 0.2500  0.12
O3 0.0052 0.6321 0.8060  0.04
O4 0.4917 0.2472 0.0819  0.01
O5 0.2472 0.4917 0.5819  0.01
O6 0.5083 0.7528 0.9181  0.01
O7 0.6321 0.0052 0.3060  0.04
O8 0.9013 0.0987 0.7500  0.12
O9 0.9948 0.3679 0.1940  0.04
O10 0.3679 0.9948 0.6940  0.04
Co1 0.7301 0.2699 0.7500  2.63
Co2 0.2699 0.7301 0.2500  2.63

space group: C2/c, No. 15

=====

Entry 3:
This record from Alexandria describes crystalline AcCoAs2O8 at its relaxed geometry. The functional is GGA+U.

Unit cell a=6.1312 b=6.1312 c=6.1312 alpha=105.35 beta=105.35 gamma=118.08
Last column: magnetic moment on the atom in μB.
Fractional coordinates of all 12 atoms:
O1 0.3345 0.1487 0.8142  0.07
O2 0.9437 0.6079 0.6643  0.15
O3 0.3345 0.5203 0.1858  0.07
O4 0.8513 0.6655 0.1858  0.07
O5 0.4797 0.6655 0.8142  0.07
O6 0.7206 0.0563 0.6643  0.15
O7 0.3921 0.0563 0.3357  0.15
O8 0.9437 0.2794 0.3357  0.15
Co1 0.2500 0.7500 0.5000  3.01
As1 0.5000 0.5000 0.0000  0.02
As2 0.7500 0.2500 0.5000  -0.01
Ac1 0.0000 0.0000 0.0000  0.02

space group: I-4m2, No. 119

=====

| no. | calculated total energy (eV/atom) |
| --- | --- |
| 1 | -6.6448 |
| 2 | -6.6658 |
| 3 | -6.3321 |